Density functional theory data (GGA+U) for crystalline LiFePO4 at its relaxed geometry.

```
LiFePO4
1.0
7.345 0.000 0.000
0.000 8.449 -0.032
0.000 0.191 14.964
Fe P O Li
12 12 48 12
Direct
0.962 0.725 0.244
0.472 0.733 0.582
0.538 0.225 0.744
0.948 0.241 0.417
0.052 0.759 0.583
0.552 0.741 0.917
0.462 0.775 0.256
0.972 0.767 0.918
0.028 0.233 0.082
0.448 0.259 0.083
0.038 0.275 0.756
0.528 0.267 0.418
0.751 0.553 0.090
0.766 0.580 0.731
0.249 0.447 0.910
0.251 0.947 0.410
0.760 0.609 0.424
0.234 0.420 0.269
0.240 0.391 0.576
0.266 0.920 0.769
0.260 0.891 0.076
0.740 0.109 0.924
0.734 0.080 0.231
0.749 0.053 0.590
0.202 0.585 0.221
0.740 0.112 0.819
0.573 0.955 0.603
0.606 0.717 0.458
0.927 0.455 0.103
0.394 0.283 0.542
0.229 0.907 0.511
0.080 0.927 0.818
0.269 0.787 0.698
0.556 0.170 0.958
0.414 0.903 0.842
0.589 0.460 0.130
0.920 0.073 0.182
0.231 0.287 0.198
0.229 0.288 0.858
0.729 0.593 0.989
0.586 0.097 0.158
0.444 0.830 0.042
0.073 0.545 0.897
0.260 0.888 0.181
0.914 0.597 0.658
0.798 0.415 0.779
0.760 0.612 0.319
0.911 0.960 0.630
0.729 0.212 0.642
0.731 0.213 0.302
0.420 0.427 0.318
0.728 0.433 0.455
0.580 0.573 0.682
0.769 0.713 0.802
0.228 0.067 0.045
0.106 0.783 0.042
0.771 0.093 0.489
0.089 0.040 0.370
0.271 0.407 0.011
0.772 0.933 0.955
0.411 0.540 0.870
0.240 0.388 0.681
0.894 0.217 0.958
0.702 0.915 0.279
0.272 0.567 0.545
0.944 0.670 0.458
0.298 0.085 0.721
0.771 0.712 0.142
0.427 0.045 0.397
0.271 0.788 0.358
0.056 0.330 0.542
0.086 0.403 0.342
0.654 0.425 0.258
0.819 0.406 0.580
0.181 0.594 0.420
0.661 0.934 0.411
0.154 0.075 0.242
0.846 0.925 0.758
0.339 0.066 0.589
0.681 0.906 0.080
0.346 0.575 0.742
0.839 0.434 0.911
0.161 0.566 0.089
0.319 0.094 0.920
```

ΔE to the lowest computed polymorph = 53 meV/atom
N(E_F) = 0.000 states/eV per atom
E_tot = -6.780 eV/atom
Magnetic moment = 48.00 μB/cell